1.
DFT (PBE) results for Tb8MgHg2 after structural relaxation.

a b c (Å): 8.545 8.545 8.526
angles (deg): 119.40 119.40 36.77
Atoms (fractional coordinates):
Tb 0.067 0.067 0.224
Tb 0.140 0.140 0.693
Tb 0.318 0.318 0.552
Tb 0.406 0.406 0.044
Tb 0.594 0.594 0.956
Tb 0.682 0.682 0.448
Tb 0.860 0.860 0.307
Tb 0.933 0.933 0.776
Mg 0.500 0.500 0.500
Hg 0.229 0.229 0.127
Hg 0.771 0.771 0.873

Calculated values
The value obtained for the density of states at the Fermi level is 11.743 states/eV/f.u. As for the symmetry: No. 12. Its magnetization is 0.000 μB/atom. The value obtained for the energy above the most stable polymorph in this dataset is 0.000 eV per atom. The calculation puts the formation energy at -0.173 eV per atom.

***

2.
DFT (PBE) results for Na2LaGaAu after structural relaxation.

a b c (Å): 5.341 5.341 4.913
angles (deg): 90.00 90.00 90.00
Atoms (fractional coordinates):
Na 0.000 0.500 0.000
Na 0.500 0.000 0.000
La 0.000 0.000 0.500
Ga 0.500 0.500 0.000
Au 0.500 0.500 0.500

Calculated values
The value obtained for the density of states at the Fermi level is 4.535 states/eV/f.u. As for the symmetry: No. 123. Its magnetization is 0.001 μB/atom. The calculation puts the formation energy at 0.081 eV per atom.

***

3.
DFT (PBE) results for Ta2ZnAu after structural relaxation.

a b c (Å): 3.972 3.972 8.721
angles (deg): 90.00 90.00 90.00
Atoms (fractional coordinates):
Ta 0.000 0.000 0.000
Ta 0.000 0.500 0.250
Ta 0.500 0.000 0.750
Ta 0.500 0.500 0.500
Zn 0.000 0.500 0.750
Zn 0.500 0.000 0.250
Au 0.000 0.000 0.500
Au 0.500 0.500 0.000

Calculated values
The value obtained for the density of states at the Fermi level is 5.167 states/eV/f.u. As for the symmetry: No. 119. Its magnetization is 0.000 μB/atom. The calculation puts the formation energy at 0.115 eV per atom.

***

4.
DFT (PBE) results for NaNbPbS4 after structural relaxation.

a b c (Å): 6.919 7.011 8.172
angles (deg): 90.00 108.73 90.00
Atoms (fractional coordinates):
Na 0.212 0.250 0.045
Na 0.788 0.750 0.955
Nb 0.251 0.750 0.813
Nb 0.749 0.250 0.187
Pb 0.227 0.250 0.556
Pb 0.773 0.750 0.444
S 0.021 0.002 0.740
S 0.021 0.498 0.740
S 0.428 0.750 0.098
S 0.447 0.750 0.638
S 0.553 0.250 0.362
S 0.572 0.250 0.902
S 0.979 0.502 0.260
S 0.979 0.998 0.260

Calculated values
The value obtained for the density of states at the Fermi level is 0.000 states/eV/f.u. As for the symmetry: No. 11. Its magnetization is 0.000 μB/atom. Its uncorrected formation energy is -0.816 eV/atom.

***

5.
DFT (PBE) results for Nd2Sm2In3 after structural relaxation.

a b c (Å): 4.633 24.659 3.583
angles (deg): 90.00 90.00 90.00
Atoms (fractional coordinates):
Nd 0.000 0.070 0.000
Nd 0.000 0.930 0.000
Nd 0.500 0.430 0.000
Nd 0.500 0.570 0.000
Sm 0.000 0.202 0.000
Sm 0.000 0.798 0.000
Sm 0.500 0.298 0.000
Sm 0.500 0.702 0.000
In 0.000 0.356 0.500
In 0.000 0.500 0.500
In 0.000 0.644 0.500
In 0.500 0.000 0.500
In 0.500 0.144 0.500
In 0.500 0.856 0.500

Calculated values
The value obtained for the density of states at the Fermi level is 6.810 states/eV/f.u. As for the symmetry: No. 65. Its magnetization is 0.000 μB/atom. The calculation puts the formation energy at -0.331 eV per atom.

***

6.
DFT (PBE) results for LaYRe2 after structural relaxation.

a b c (Å): 4.939 4.939 3.529
angles (deg): 90.00 90.00 90.00
Atoms (fractional coordinates):
La 0.000 0.000 0.000
Y 0.500 0.500 0.000
Re 0.000 0.500 0.500
Re 0.500 0.000 0.500

Calculated values
The value obtained for the density of states at the Fermi level is 7.811 states/eV/f.u. As for the symmetry: No. 123. Its magnetization is 0.000 μB/atom. The value obtained for the energy above the most stable polymorph in this dataset is 0.573 eV per atom. The calculation puts the formation energy at 0.669 eV per atom.